# LiAl4Ru (PBE-GGA, relaxed)
data_LiAl4Ru
_cell_length_a 7.1604
_cell_length_b 7.1604
_cell_length_c 7.1604
_cell_angle_alpha 90.00
_cell_angle_beta 90.00
_cell_angle_gamma 90.00
_space_group_name_H-M_alt 'F -4 3 m'
_space_group_IT_number 216
_space_group_name_Hall 'F -4 2 3'
loop_
_atom_site_label
_atom_site_type_symbol
_atom_site_fract_x
_atom_site_fract_y
_atom_site_fract_z
Li1 Li 0.0000 0.0000 0.0000
Al1 Al 0.1243 0.1243 0.3757
Ru1 Ru 0.2500 0.2500 0.7500
# density	3.9	g/cm³
# E_tot	-4.44	eV per atom
# ΔE_f	-0.08	eV/atom
# M_tot	0.0	μB per formula unit

=====

# CaRe2Tc (PBE-GGA, relaxed)
data_CaRe2Tc
_cell_length_a 2.8376
_cell_length_b 2.8376
_cell_length_c 8.6214
_cell_angle_alpha 90.00
_cell_angle_beta 90.00
_cell_angle_gamma 90.00
_space_group_name_H-M_alt 'P 4/m m m'
_space_group_IT_number 123
_space_group_name_Hall '-P 4 2'
loop_
_atom_site_label
_atom_site_type_symbol
_atom_site_fract_x
_atom_site_fract_y
_atom_site_fract_z
Ca1 Ca 0.0000 0.0000 0.0000
Re1 Re 0.5000 0.5000 0.2906
Tc1 Tc 0.0000 0.0000 0.5000
# density	12.2	g/cm³
# energy above the lowest structure with this stoichiometry	32	meV per atom
# E_tot	-8.82	eV per atom
# ΔE_f	0.50	eV/atom
# M_tot	0.0	μB per formula unit

=====

# Ac2Ni3SnPt12 (PBE-GGA, relaxed)
data_Ac2Ni3SnPt12
_cell_length_a 8.0762
_cell_length_b 8.0762
_cell_length_c 20.1838
_cell_angle_alpha 90.00
_cell_angle_beta 90.00
_cell_angle_gamma 120.00
_space_group_name_H-M_alt 'R -3 m'
_space_group_IT_number 166
_space_group_name_Hall '-R 3 2"'
loop_
_atom_site_label
_atom_site_type_symbol
_atom_site_fract_x
_atom_site_fract_y
_atom_site_fract_z
Ac1 Ac 0.0000 0.0000 0.1179
Ni1 Ni 0.0000 0.5000 0.0000
Sn1 Sn 0.0000 0.0000 0.5000
Pt1 Pt 0.0100 0.5050 0.3704
Pt2 Pt 0.0127 0.5064 0.8789
# density	13.5	g/cm³
# E_tot	-5.73	eV per atom
# ΔE_f	-0.06	eV/atom
# M_tot	3.5	μB per formula unit

=====

# Ac2Fe2Si2C (PBE-GGA, relaxed)
data_Ac2Fe2Si2C
_cell_length_a 11.1942
_cell_length_b 4.0767
_cell_length_c 7.3419
_cell_angle_alpha 90.00
_cell_angle_beta 126.51
_cell_angle_gamma 90.00
_space_group_name_H-M_alt 'C 1 2/m 1'
_space_group_IT_number 12
_space_group_name_Hall '-C 2y'
loop_
_atom_site_label
_atom_site_type_symbol
_atom_site_fract_x
_atom_site_fract_y
_atom_site_fract_z
Ac1 Ac 0.0554 0.0000 0.3068
Fe1 Fe 0.1854 0.5000 0.0741
Si1 Si 0.1981 0.5000 0.7717
C1 C 0.0000 0.5000 0.0000
# density	7.8	g/cm³
# formation energy without anion corrections	-0.465	eV per atom
# E_tot	-6.92	eV per atom
# M_tot	0.0	μB per formula unit

=====

# Pm2Nd3Se4 (PBE-GGA, relaxed)
data_Pm2Nd3Se4
_cell_length_a 4.1361
_cell_length_b 4.1361
_cell_length_c 17.1914
_cell_angle_alpha 90.00
_cell_angle_beta 90.00
_cell_angle_gamma 120.00
_space_group_name_H-M_alt 'P -3 m 1'
_space_group_IT_number 164
_space_group_name_Hall '-P 3 2"'
loop_
_atom_site_label
_atom_site_type_symbol
_atom_site_fract_x
_atom_site_fract_y
_atom_site_fract_z
Pm1 Pm 0.3333 0.6667 0.2064
Nd1 Nd 0.0000 0.0000 0.0000
Nd2 Nd 0.3333 0.6667 0.5873
Se1 Se 0.0000 0.0000 0.3078
Se2 Se 0.3333 0.6667 0.8956
# density	6.8	g/cm³
# formation energy without anion corrections	-1.593	eV per atom
# E_tot	-5.79	eV per atom
# M_tot	1.0	μB per formula unit

=====

# CeHoHg2 (PBE-GGA, relaxed)
data_CeHoHg2
_cell_length_a 3.6900
_cell_length_b 3.6900
_cell_length_c 7.8418
_cell_angle_alpha 90.00
_cell_angle_beta 90.00
_cell_angle_gamma 90.00
_space_group_name_H-M_alt 'P 4/m m m'
_space_group_IT_number 123
_space_group_name_Hall '-P 4 2'
loop_
_atom_site_label
_atom_site_type_symbol
_atom_site_fract_x
_atom_site_fract_y
_atom_site_fract_z
Ce1 Ce 0.0000 0.0000 0.0000
Ho1 Ho 0.0000 0.0000 0.5000
Hg1 Hg 0.5000 0.5000 0.2704
# density	11.0	g/cm³
# E_tot	-3.17	eV per atom
# ΔE_f	-0.39	eV/atom
# M_tot	1.5	μB per formula unit

=====

# Ca4Si2Au5 (PBE-GGA, relaxed)
data_Ca4Si2Au5
_cell_length_a 7.2376
_cell_length_b 4.0974
_cell_length_c 8.4761
_cell_angle_alpha 90.00
_cell_angle_beta 90.09
_cell_angle_gamma 90.00
_space_group_name_H-M_alt 'P 1 2/m 1'
_space_group_IT_number 10
_space_group_name_Hall '-P 2y'
loop_
_atom_site_label
_atom_site_type_symbol
_atom_site_fract_x
_atom_site_fract_y
_atom_site_fract_z
Ca1 Ca 0.2176 0.0000 0.1305
Ca2 Ca 0.2617 0.0000 0.6096
Si1 Si 0.0650 0.5000 0.3769
Au1 Au 0.1363 0.5000 0.8640
Au2 Au 0.4121 0.5000 0.3477
Au3 Au 0.5000 0.5000 0.0000
# density	7.9	g/cm³
# formation energy without anion corrections	-0.652	eV per atom
# E_tot	-3.86	eV per atom
# M_tot	0.0	μB per formula unit

=====

# Ba2TbZnO5 (PBE-GGA, relaxed)
data_Ba2TbZnO5
_cell_length_a 3.5886
_cell_length_b 15.2877
_cell_length_c 11.2034
_cell_angle_alpha 90.00
_cell_angle_beta 90.00
_cell_angle_gamma 90.00
_space_group_name_H-M_alt 'C m c 21'
_space_group_IT_number 36
_space_group_name_Hall 'C 2c -2'
loop_
_atom_site_label
_atom_site_type_symbol
_atom_site_fract_x
_atom_site_fract_y
_atom_site_fract_z
Ba1 Ba 0.0000 0.1098 0.0000
Ba2 Ba 0.0000 0.1319 0.6426
Tb1 Tb 0.0000 0.2002 0.3424
Zn1 Zn 0.0000 0.4553 0.7629
O1 O 0.0000 0.0404 0.3390
O2 O 0.0000 0.2940 0.9726
O3 O 0.0000 0.3236 0.7088
O4 O 0.0000 0.3428 0.3232
O5 O 0.0000 0.4967 0.1038
# density	6.3	g/cm³
# formation energy without anion corrections	-2.349	eV per atom
# E_tot	-6.19	eV per atom
# M_tot	1.1	μB per formula unit

=====

> Which formula does entry 7 have?

Ca4Si2Au5

=====

> Which of these has the lowest density?

LiAl4Ru

=====

> What is the M_tot in the fifth record?

1.0 μB per formula unit